# 1
# YbAsO4 (PBE-GGA, optimized geometry)
# VASP energy   -6.316 eV/atom
# E_form (uncorrected)   -1.9815 eV per atom
# Total moment   1.1 μB per formula unit
data_YbAsO4
_symmetry_space_group_name_H-M 'I 41/a m d'
_symmetry_Int_Tables_number 141
_cell_length_a 7.1651
_cell_length_b 7.1651
_cell_length_c 6.4008
_cell_angle_alpha 90.00
_cell_angle_beta 90.00
_cell_angle_gamma 90.00
loop_
_symmetry_equiv_pos_as_xyz
'x,y,z'
'-x,-y,-z'
'-y+1/4,x+3/4,z+1/4'
'y+1/4,-x+3/4,-z+1/4'
'-x+1/2,-y,z+1/2'
'x+1/2,y,-z+1/2'
'y+1/4,-x+1/4,z+3/4'
'-y+1/4,x+1/4,-z+3/4'
'x,-y,-z'
'-x,y,z'
'-y+1/4,-x+1/4,-z+3/4'
'y+1/4,x+1/4,z+3/4'
'-x+1/2,y,-z+1/2'
'x+1/2,-y,z+1/2'
'y+1/4,x+3/4,-z+1/4'
'-y+1/4,-x+3/4,z+1/4'
'x+1/2,y+1/2,z+1/2'
'-x+1/2,-y+1/2,-z+1/2'
'-y+3/4,x+1/4,z+3/4'
'y+3/4,-x+1/4,-z+3/4'
'-x,-y+1/2,z'
'x,y+1/2,-z'
'y+3/4,-x+3/4,z+1/4'
'-y+3/4,x+3/4,-z+1/4'
'x+1/2,-y+1/2,-z+1/2'
'-x+1/2,y+1/2,z+1/2'
'-y+3/4,-x+3/4,-z+1/4'
'y+3/4,x+3/4,z+1/4'
'-x,y+1/2,-z'
'x,-y+1/2,z'
'y+3/4,x+1/4,-z+3/4'
'-y+3/4,-x+1/4,z+3/4'
loop_
_atom_site_label
_atom_site_fract_x
_atom_site_fract_y
_atom_site_fract_z
Yb1 0.0000 0.2500 0.3750
As1 0.0000 0.2500 0.8750
O1 0.0000 0.0683 0.6995

# 2
# Yb4As2O (PBE-GGA, optimized geometry)
# VASP energy   -4.589 eV/atom
# E_form (uncorrected)   -1.6805 eV per atom
# Total moment   0.8 μB per formula unit
data_Yb4As2O
_symmetry_space_group_name_H-M 'I 4/m m m'
_symmetry_Int_Tables_number 139
_symmetry_space_group_name_Hall '-I 4 2'
_cell_length_a 4.5670
_cell_length_b 4.5670
_cell_length_c 15.3382
_cell_angle_alpha 90.00
_cell_angle_beta 90.00
_cell_angle_gamma 90.00
loop_
_atom_site_label
_atom_site_fract_x
_atom_site_fract_y
_atom_site_fract_z
Yb1 0.0000 0.0000 0.1725
Yb2 0.0000 0.5000 0.0000
As1 0.0000 0.0000 0.3646
O1 0.0000 0.0000 0.0000

# 3
# ZnAs2O6 (PBE-GGA, optimized geometry)
# VASP energy   -5.683 eV/atom
# E_form (uncorrected)   -1.2031 eV per atom
# Total moment   0.0 μB per formula unit
data_ZnAs2O6
_symmetry_space_group_name_H-M 'C 1 2/c 1'
_symmetry_Int_Tables_number 15
_symmetry_space_group_name_Hall '-C 2yc'
_cell_length_a 10.3725
_cell_length_b 9.1926
_cell_length_c 5.4191
_cell_angle_alpha 90.00
_cell_angle_beta 108.75
_cell_angle_gamma 90.00
loop_
_atom_site_label
_atom_site_fract_x
_atom_site_fract_y
_atom_site_fract_z
Zn1 0.0000 0.1099 0.2500
As1 0.2167 0.4054 0.2547
O1 0.1120 0.0719 0.6413
O2 0.1385 0.4965 0.4607
O3 0.1556 0.2359 0.2059

# 4
# ZnAsO2 (PBE-GGA, optimized geometry)
# VASP energy   -4.850 eV/atom
# E_form (uncorrected)   -0.8903 eV per atom
# Total moment   0.0 μB per formula unit
data_ZnAsO2
_symmetry_space_group_name_H-M 'R -3 m'
_symmetry_Int_Tables_number 166
_symmetry_space_group_name_Hall '-R 3 2"'
_cell_length_a 3.0446
_cell_length_b 3.0446
_cell_length_c 18.0693
_cell_angle_alpha 90.00
_cell_angle_beta 90.00
_cell_angle_gamma 120.00
loop_
_atom_site_label
_atom_site_fract_x
_atom_site_fract_y
_atom_site_fract_z
Zn1 0.0000 0.0000 0.0000
As1 0.0000 0.0000 0.5000
O1 0.0000 0.0000 0.3953

# 5
# ZnAs2O (PBE-GGA, optimized geometry)
# VASP energy   -3.902 eV/atom
# E_form (uncorrected)   -0.0189 eV per atom
# Total moment   0.0 μB per formula unit
data_ZnAs2O
_symmetry_space_group_name_H-M 'I -4 2 d'
_symmetry_Int_Tables_number 122
_symmetry_space_group_name_Hall 'I -4 2bw'
_cell_length_a 4.7184
_cell_length_b 4.7184
_cell_length_c 13.5118
_cell_angle_alpha 90.00
_cell_angle_beta 90.00
_cell_angle_gamma 90.00
loop_
_atom_site_label
_atom_site_fract_x
_atom_site_fract_y
_atom_site_fract_z
Zn1 0.0000 0.0000 0.0000
As1 0.1387 0.2500 0.6250
O1 0.0000 0.0000 0.5000

# 6
# ZnAsO4 (PBE-GGA, optimized geometry)
# VASP energy   -5.228 eV/atom
# E_form (uncorrected)   -0.9353 eV per atom
# Total moment   0.9 μB per formula unit
data_ZnAsO4
_symmetry_space_group_name_H-M 'P n c 2'
_symmetry_Int_Tables_number 30
_symmetry_space_group_name_Hall 'P 2 -2bc'
_cell_length_a 5.1356
_cell_length_b 4.4785
_cell_length_c 5.3780
_cell_angle_alpha 90.00
_cell_angle_beta 90.00
_cell_angle_gamma 90.00
loop_
_atom_site_label
_atom_site_fract_x
_atom_site_fract_y
_atom_site_fract_z
Zn1 0.0000 0.0000 0.0000
As1 0.5000 0.0000 0.3173
O1 0.1936 0.1995 0.2882
O2 0.3514 0.7476 0.5554

# 7
# ZnAsO2 (PBE-GGA, optimized geometry)
# VASP energy   -4.609 eV/atom
# E_form (uncorrected)   -0.6492 eV per atom
# Total moment   0.0 μB per formula unit
data_ZnAsO2
_symmetry_space_group_name_H-M 'I -4 2 d'
_symmetry_Int_Tables_number 122
_symmetry_space_group_name_Hall 'I -4 2bw'
_cell_length_a 4.5681
_cell_length_b 4.5681
_cell_length_c 10.9097
_cell_angle_alpha 90.00
_cell_angle_beta 90.00
_cell_angle_gamma 90.00
loop_
_atom_site_label
_atom_site_fract_x
_atom_site_fract_y
_atom_site_fract_z
Zn1 0.0000 0.0000 0.0000
As1 0.0000 0.0000 0.5000
O1 0.2336 0.2500 0.1250

# 8
# Zn3AsO6 (PBE-GGA, optimized geometry)
# VASP energy   -4.995 eV/atom
# E_form (uncorrected)   -1.1725 eV per atom
# Total moment   1.1 μB per formula unit
data_Zn3AsO6
_symmetry_space_group_name_H-M 'R 3'
_symmetry_Int_Tables_number 146
_symmetry_space_group_name_Hall 'R 3'
_cell_length_a 5.1412
_cell_length_b 5.1412
_cell_length_c 13.7854
_cell_angle_alpha 90.00
_cell_angle_beta 90.00
_cell_angle_gamma 120.00
loop_
_atom_site_label
_atom_site_fract_x
_atom_site_fract_y
_atom_site_fract_z
Zn1 0.0000 0.0000 0.0000
Zn2 0.0000 0.0000 0.2156
Zn3 0.0000 0.0000 0.7314
As1 0.0000 0.0000 0.5198
O1 0.0009 0.7160 0.6082
O2 0.0413 0.3430 0.1177